The following is a PBE with a Hubbard U calculation of a geometry-optimized CsVCr2O8 structure, from Alexandria via LeMat-Bulk.

Summary:
SG: C2/m
Uncorrected energy in eV/atom: -6.8156

```
CsVCr2O8
1.0
-1.110 -4.202 -3.129
4.091 -2.350 -2.534
1.303 -5.681 6.289
O Cs Cr V
8 1 2 1
Direct
0.283 0.782 0.161
0.782 0.283 0.161
0.717 0.218 0.839
0.323 0.323 0.629
0.218 0.717 0.839
0.783 0.783 0.069
0.217 0.217 0.931
0.677 0.677 0.371
0.000 0.000 0.500
0.366 0.366 0.810
0.634 0.634 0.190
0.000 0.000 0.000
```